# P2IrOs (PBE, optimized geometry)
# V ... 54.9 Å³/cell
# Total magnetic moment ... 0.0 Bohr magnetons per cell
# Calculated formation energy ... -0.10 eV per atom
data_P2IrOs
_chemical_formula_sum 'P2 Ir1 Os1'
_space_group_name_H-M_alt 'P 1'
_space_group_IT_number 1
_cell_length_a 2.974
_cell_length_b 3.689
_cell_length_c 5.003
_cell_angle_alpha 90.00
_cell_angle_beta 90.00
_cell_angle_gamma 90.00
loop_
_space_group_symop_operation_xyz
'x,y,z'
loop_
_atom_site_label
_atom_site_fract_x
_atom_site_fract_y
_atom_site_fract_z
P1 0.000 0.000 0.000
P2 0.500 0.500 0.358
Ir1 0.500 0.500 0.869
Os1 0.000 0.000 0.495